Computed, not measured: a relaxed structure of Ho3GaGe at the GGA-PBE level of DFT.

Output
* SG: No. 15
* ΔE_f: -0.406 eV/atom
* density of states at the Fermi level: 0.39 states/eV per atom
* DFT total energy: -4.68 eV/atom
* ρ: 7.39 g/cm3

Cell: 7.7108 7.7108 12.2718 Å, 69.34 69.34 59.19°
Positions (direct):
Ho  0.7731  0.9247  0.7864
Ho  0.0753  0.2269  0.7136
Ho  0.2269  0.0753  0.2136
Ho  0.9247  0.7731  0.2864
Ho  0.6058  0.7457  0.6246
Ho  0.2543  0.3942  0.8754
Ho  0.3942  0.2543  0.3754
Ho  0.7457  0.6058  0.1246
Ho  0.3320  0.7923  0.9461
Ho  0.2077  0.6680  0.5539
Ho  0.7923  0.3320  0.4461
Ho  0.6680  0.2077  0.0539
Ga  0.7929  0.5124  0.8718
Ga  0.4876  0.2071  0.6282
Ga  0.2071  0.4876  0.1282
Ga  0.5124  0.7929  0.3718
Ge  0.0000  0.5000  0.5000
Ge  0.5000  0.0000  0.0000
Ge  0.8047  0.1953  0.2500
Ge  0.1953  0.8047  0.7500